Model one:
## LaY2Cr (GGA-PBEsol)

Data for a geometry-optimized LaY2Cr structure.

abc: 7.544 7.544 7.544
angles: 90.00 90.00 90.00
Space group F-43m (No. 216)
One atom of each set of equivalent atoms:
La 0.000 0.000 0.000 (multiplicity 4)
Y 0.000 0.000 0.500 (multiplicity 4)
Y 0.250 0.250 0.750 (multiplicity 4)
Cr 0.250 0.250 0.250 (multiplicity 4)


Model two:
## LaY2Cr (GGA-PBEsol)

Data for a geometry-optimized LaY2Cr structure.

abc: 3.662 5.374 10.985
angles: 90.00 90.00 90.00
Space group Imm2 (No. 44)
One atom of each set of equivalent atoms:
La 0.000 0.000 0.000 (multiplicity 2)
Y 0.000 0.000 0.421 (multiplicity 2)
Y 0.000 0.500 0.210 (multiplicity 2)
Cr 0.000 0.500 0.711 (multiplicity 2)


Verdict on stability: model one comes out at the bottom.


Model one:
## LiCrMo2 (GGA-PBEsol)

Data for a geometry-optimized LiCrMo2 structure.

abc: 2.463 4.288 5.202
angles: 90.00 90.00 90.00
Space group Pmm2 (No. 25)
One atom of each set of equivalent atoms:
Li 0.000 0.000 0.000 (multiplicity 1)
Cr 0.500 0.500 0.757 (multiplicity 1)
Mo 0.000 0.000 0.511 (multiplicity 1)
Mo 0.500 0.500 0.239 (multiplicity 1)


Model two:
## LiCrMo2 (GGA-PBEsol)

Data for a geometry-optimized LiCrMo2 structure.

abc: 5.257 8.365 2.488
angles: 90.00 90.00 90.00
Space group Cmmm (No. 65)
One atom of each set of equivalent atoms:
Li 0.000 0.000 0.000 (multiplicity 2)
Cr 0.000 0.500 0.000 (multiplicity 2)
Mo 0.250 0.250 0.500 (multiplicity 4)


Verdict on stability: model one comes out at the bottom.


Model one:
## LiCrNi2 (GGA-PBEsol)

Data for a geometry-optimized LiCrNi2 structure.

abc: 8.361 2.405 4.299
angles: 90.00 98.90 90.00
Space group Cm (No. 8)
One atom of each set of equivalent atoms:
Li 0.000 0.000 0.000 (multiplicity 2)
Cr 0.231 0.000 0.670 (multiplicity 2)
Ni 0.252 0.500 0.177 (multiplicity 2)
Ni 0.484 0.000 0.492 (multiplicity 2)


Model two:
## LiCrNi2 (GGA-PBEsol)

Data for a geometry-optimized LiCrNi2 structure.

abc: 2.488 2.488 7.043
angles: 90.00 90.00 90.00
Space group P4/mmm (No. 123)
One atom of each set of equivalent atoms:
Li 0.000 0.000 0.000 (multiplicity 1)
Cr 0.000 0.000 0.500 (multiplicity 1)
Ni 0.500 0.500 0.263 (multiplicity 2)


Verdict on stability: model one comes out at the bottom.